An optimized crystal structure of MgInSN2. Source: Alexandria via LeMat-Bulk, functional PBE.

Lattice parameters (Å, degrees): 4.1164 4.1164 5.1885 90.00 90.00 90.00
Last column: nearest neighbours and their distance in Å.
Space group P4/mmm (No. 123)
Symmetry-distinct sites (fractional):
Mg  0.0000  0.0000  0.0000 (multiplicity 1)  4 N 2.06
In  0.5000  0.5000  0.5000 (multiplicity 1)  4 S 2.91
S  0.0000  0.0000  0.5000 (multiplicity 1)  2 Mg 2.59
N  0.0000  0.5000  0.0000 (multiplicity 2)  2 Mg 2.06

Calculated values
- Energy relative to the lowest polymorph listed for this composition: 0.000 eV/atom
- Energy: -20.20 eV/cell
- Raw formation energy: 0.98 eV per atom
- Calculated density: 3.76 Mg/m³
- Spin magnetization: 3.7 μB per formula unit
- Density of states at the Fermi level: 2.0 states/eV/cell

***

An optimized crystal structure of Mg2InSbN. Source: Alexandria via LeMat-Bulk, functional PBE.

Lattice parameters (Å, degrees): 4.3268 4.3268 5.0535 90.00 90.00 90.00
Last column: nearest neighbours and their distance in Å.
Space group P4/mmm (No. 123)
Symmetry-distinct sites (fractional):
Mg  0.0000  0.5000  0.0000 (multiplicity 2)  2 N 2.16
In  0.0000  0.0000  0.5000 (multiplicity 1)  2 N 2.53
Sb  0.5000  0.5000  0.5000 (multiplicity 1)  4 In 3.06, 8 Mg 3.33
N  0.0000  0.0000  0.0000 (multiplicity 1)  4 Mg 2.16

Calculated values
- Energy: -19.62 eV/cell
- Raw formation energy: -0.25 eV per atom
- Calculated density: 5.25 Mg/m³
- Spin magnetization: 0.0 μB per formula unit
- Density of states at the Fermi level: 1.0 states/eV/cell

***

An optimized crystal structure of MgIn2SbN. Source: Alexandria via LeMat-Bulk, functional PBE.

Lattice parameters (Å, degrees): 5.7317 5.7317 5.3639 90.00 90.00 90.00
Last column: nearest neighbours and their distance in Å.
Space group P4/mmm (No. 123)
Symmetry-distinct sites (fractional):
Mg  0.0000  0.0000  0.0000 (multiplicity 1)  2 Sb 2.68
In  0.0000  0.5000  0.5000 (multiplicity 2)  2 Sb 2.87
Sb  0.0000  0.0000  0.5000 (multiplicity 1)  2 Mg 2.68, 4 In 2.87
N  0.5000  0.5000  0.0000 (multiplicity 1)  8 In 3.93, 4 Mg 4.05

Calculated values
- Energy: -12.20 eV/cell
- Raw formation energy: 1.46 eV per atom
- Calculated density: 3.67 Mg/m³
- Spin magnetization: 0.2 μB per formula unit
- Density of states at the Fermi level: 5.0 states/eV/cell